First-principles (GGA-PBE) data for a geometry-optimized NpSbH2 structure, as listed in the Alexandria database.

The value obtained for the electronic total energy is -5.867 eV/atom. As for the distance to the lowest polymorph of the same formula: 0.994 eV/f.u.

The structure belongs to space group P4/mmm (No. 123); the cell edges are 3.055, 3.055 and 6.420 Å and the angles 90.00°, 90.00° and 90.00°. Symmetry generates all atoms from Np at (0.000, 0.000, 0.000), Sb at (0.000, 0.000, 0.500) and H at (0.500, 0.500, 0.145).

=====

First-principles (GGA-PBE) data for a geometry-optimized BeGeHIr2 structure, as listed in the Alexandria database.

The value obtained for the electronic total energy is -5.574 eV/atom.

The structure belongs to space group P4/mmm (No. 123); the cell edges are 4.410, 4.410 and 2.973 Å and the angles 90.00°, 90.00° and 90.00°. Symmetry generates all atoms from Be at (0.000, 0.000, 0.000), Ge at (0.500, 0.500, 0.500), H at (0.000, 0.000, 0.500) and Ir at (0.000, 0.500, 0.000).

=====

First-principles (GGA-PBE) data for a geometry-optimized Ti3CoRh structure, as listed in the Alexandria database.

The value obtained for the electronic total energy is -7.918 eV/atom. As for the distance to the lowest polymorph of the same formula: 0.612 eV/f.u.

The structure belongs to space group Pmmn (No. 59, origin choice 2); the cell edges are 4.168, 5.466 and 6.853 Å and the angles 90.00°, 90.00° and 90.00°. Symmetry generates all atoms from Ti at (0.250, 0.002, 0.159), Ti at (0.250, 0.750, 0.538), Co at (0.250, 0.750, 0.875) and Rh at (0.250, 0.250, 0.688).

=====

First-principles (GGA-PBE) data for a geometry-optimized AcScBr structure, as listed in the Alexandria database.

The value obtained for the electronic total energy is -4.592 eV/atom.

The structure belongs to space group P2_1/m (No. 11); the cell edges are 5.607, 3.775 and 8.677 Å and the angles 90.00°, 90.02° and 90.00°. Symmetry generates all atoms from Ac at (0.250, 0.250, 0.101), Sc at (0.250, 0.250, 0.692) and Br at (0.250, 0.750, 0.433).

=====

First-principles (GGA-PBE) data for a geometry-optimized SrTmTlPb structure, as listed in the Alexandria database.

The value obtained for the electronic total energy is -3.393 eV/atom.

The structure belongs to space group F-43m (No. 216); the cell edges are 7.883, 7.883 and 7.883 Å and the angles 90.00°, 90.00° and 90.00°. Symmetry generates all atoms from Sr at (0.000, 0.000, 0.000), Tm at (0.000, 0.000, 0.500), Tl at (0.250, 0.250, 0.750) and Pb at (0.250, 0.250, 0.250).

=====

First-principles (GGA-PBE) data for a geometry-optimized PuMg2Sc structure, as listed in the Alexandria database.

The value obtained for the electronic total energy is -5.895 eV/atom.

The structure belongs to space group P4/mmm (No. 123); the cell edges are 3.129, 3.129 and 9.842 Å and the angles 90.00°, 90.00° and 90.00°. Symmetry generates all atoms from Pu at (0.000, 0.000, 0.000), Mg at (0.500, 0.500, 0.262) and Sc at (0.000, 0.000, 0.500).